Entry 1:
The following is a PBE calculation of an optimized crystal structure of ZrInF2, from the Alexandria database.

The uncorrected formation energy is -1.1782 eV per atom. The energy above the most stable polymorph in this dataset is 0.717 eV per atom.

The structure belongs to space group Fm-3m (No. 225); the cell edges are 6.388, 6.388 and 6.388 Å and the angles 90.00°, 90.00° and 90.00°. The distinct sites, in fractional coordinates, are Zr at (0.000, 0.000, 0.000), In at (0.000, 0.000, 0.500) and F at (0.250, 0.250, 0.250).

***

Entry 2:
The following is a PBE calculation of an optimized crystal structure of Li4Pr3Ag4, from the Alexandria database.

For the formation enthalpy at 0 K, the calculation gives -0.1707 eV/atom. The energy above the most stable polymorph in this dataset is 0.000 eV per atom.

The structure belongs to space group Immm (No. 71); the cell edges are 4.285, 7.936 and 14.891 Å and the angles 90.00°, 90.00° and 90.00°. The distinct sites, in fractional coordinates, are Li at (0.000, 0.193, 0.176), Pr at (0.000, 0.000, 0.377), Pr at (0.000, 0.500, 0.500), Ag at (0.000, 0.309, 0.000) and Ag at (0.000, 0.500, 0.283).

***

Entry 3:
The following is a PBE calculation of an optimized crystal structure of LiDy2Rh, from the Alexandria database.

For the formation enthalpy at 0 K, the calculation gives -0.4867 eV/atom.

The structure belongs to space group Fm-3m (No. 225); the cell edges are 6.973, 6.973 and 6.973 Å and the angles 90.00°, 90.00° and 90.00°. The distinct sites, in fractional coordinates, are Li at (0.000, 0.000, 0.000), Dy at (0.250, 0.250, 0.250) and Rh at (0.000, 0.000, 0.500).

***

no.,DFT total energy (eV/atom)
1,-4.94
2,-3.21
3,-5.10